[1]
DFT (PBE) results for BaSnI2N after structural relaxation.

Cell lengths 6.7181, 6.7181, 4.4366 Å; angles 90.00, 90.00, 90.00 degrees
Last column: nearest neighbours and their distance in Å.
Space group P4/mmm (No. 123)
One atom of each set of equivalent atoms:
Ba: 0.0000 0.0000 0.0000 [1 per cell]  2 N 2.22
Sn: 0.5000 0.5000 0.5000 [1 per cell]  8 I 4.03, 2 Sn 4.44
I: 0.0000 0.5000 0.0000 [2 per cell]  2 Ba 3.36
N: 0.0000 0.0000 0.5000 [1 per cell]  2 Ba 2.22

Results
The value obtained for the final energy is -15.68 eV/f.u. The calculation puts the total moment at 0.02 μB per formula unit. The value obtained for the energy above the most stable polymorph in this dataset is 616 meV/atom.



[2]
DFT (PBE) results for BaSrIN2 after structural relaxation.

Cell lengths 4.9699, 4.9699, 6.2358 Å; angles 90.00, 90.00, 90.00 degrees
Last column: nearest neighbours and their distance in Å.
Space group P4/mmm (No. 123)
One atom of each set of equivalent atoms:
Ba: 0.0000 0.0000 0.0000 [1 per cell]  4 I 3.51
Sr: 0.5000 0.5000 0.5000 [1 per cell]  4 N 2.48
I: 0.5000 0.5000 0.0000 [1 per cell]  2 Sr 3.12
N: 0.0000 0.5000 0.5000 [2 per cell]  2 Sr 2.48

Results
The value obtained for the final energy is -20.20 eV/f.u. The calculation puts the total moment at 3.00 μB per formula unit. The value obtained for the energy above the most stable polymorph in this dataset is 0 meV/atom.



[3]
DFT (PBE) results for BaSrI2N after structural relaxation.

Cell lengths 6.3681, 6.3681, 4.5140 Å; angles 90.00, 90.00, 90.00 degrees
Last column: nearest neighbours and their distance in Å.
Space group P4/mmm (No. 123)
One atom of each set of equivalent atoms:
Ba: 0.0000 0.0000 0.0000 [1 per cell]  8 I 3.90
Sr: 0.5000 0.5000 0.5000 [1 per cell]  2 N 2.26
I: 0.0000 0.5000 0.5000 [2 per cell]  2 Sr 3.18
N: 0.5000 0.5000 0.0000 [1 per cell]  2 Sr 2.26

Results
The value obtained for the final energy is -17.92 eV/f.u. The calculation puts the total moment at 0.23 μB per formula unit. The value obtained for the energy above the most stable polymorph in this dataset is 0 meV/atom.



[4]
DFT (PBE) results for BaSrI2N after structural relaxation.

Cell lengths 6.6805, 6.6805, 4.6719 Å; angles 90.00, 90.00, 90.00 degrees
Last column: nearest neighbours and their distance in Å.
Space group P4/mmm (No. 123)
One atom of each set of equivalent atoms:
Ba: 0.0000 0.0000 0.0000 [1 per cell]  2 N 2.34
Sr: 0.5000 0.5000 0.5000 [1 per cell]  8 I 4.08
I: 0.0000 0.5000 0.0000 [2 per cell]  2 Ba 3.34
N: 0.0000 0.0000 0.5000 [1 per cell]  2 Ba 2.34

Results
The value obtained for the final energy is -16.91 eV/f.u. The calculation puts the total moment at 0.46 μB per formula unit. The value obtained for the energy above the most stable polymorph in this dataset is 200 meV/atom.